! Rb2Ag2Sn (PBE, optimized geometry); values from VASP
&SYSTEM
  ibrav = 0, nat = 10, ntyp = 3
/
ATOMIC_SPECIES
Sn 118.71 Sn.upf
Rb 85.47 Rb.upf
Ag 107.87 Ag.upf
ATOMIC_POSITIONS crystal
Sn 0.000 0.000 0.000
Sn 0.500 0.500 0.000
Rb 0.679 0.821 0.500
Rb 0.321 0.179 0.500
Rb 0.179 0.679 0.500
Rb 0.821 0.321 0.500
Ag 0.862 0.638 0.000
Ag 0.138 0.362 0.000
Ag 0.362 0.862 0.000
Ag 0.638 0.138 0.000
CELL_PARAMETERS angstrom
7.504 0.000 0.000
0.000 7.504 0.000
0.000 0.000 5.892
! energy relative to the lowest polymorph listed for this composition: 99 meV/atom
! energy relative to the elements: 32.9 meV/atom

***

! RbAg12Sn6 (PBE, optimized geometry); values from VASP
&SYSTEM
  ibrav = 0, nat = 19, ntyp = 3
/
ATOMIC_SPECIES
Sn 118.71 Sn.upf
Ag 107.87 Ag.upf
Rb 85.47 Rb.upf
ATOMIC_POSITIONS crystal
Sn 0.299 0.716 0.716
Sn 0.701 0.284 0.284
Sn 0.716 0.716 0.299
Sn 0.284 0.701 0.284
Sn 0.284 0.284 0.701
Sn 0.716 0.299 0.716
Ag 0.134 0.379 0.379
Ag 0.889 0.500 0.111
Ag 0.621 0.621 0.866
Ag 0.379 0.134 0.379
Ag 0.500 0.111 0.889
Ag 0.621 0.866 0.621
Ag 0.111 0.889 0.500
Ag 0.111 0.500 0.889
Ag 0.379 0.379 0.134
Ag 0.866 0.621 0.621
Ag 0.889 0.111 0.500
Ag 0.500 0.889 0.111
Rb 0.000 0.000 0.000
CELL_PARAMETERS angstrom
7.937 0.020 0.029
-1.948 7.695 0.029
-1.948 -2.509 7.274
! energy relative to the elements: 83.2 meV/atom

***

! Rb2AgSn6 (PBE, optimized geometry); values from VASP
&SYSTEM
  ibrav = 0, nat = 9, ntyp = 3
/
ATOMIC_SPECIES
Sn 118.71 Sn.upf
Rb 85.47 Rb.upf
Ag 107.87 Ag.upf
ATOMIC_POSITIONS crystal
Sn 0.614 0.728 0.343
Sn 0.885 0.272 0.657
Sn 0.386 0.272 0.657
Sn 0.106 0.213 0.334
Sn 0.115 0.728 0.343
Sn 0.894 0.787 0.666
Rb 0.352 0.703 0.871
Rb 0.648 0.297 0.129
Ag 0.000 0.000 0.000
CELL_PARAMETERS angstrom
6.627 0.000 0.000
-3.314 6.172 1.707
0.000 0.622 7.343
! energy relative to the lowest polymorph listed for this composition: 51 meV/atom
! energy relative to the elements: -89.9 meV/atom